Be2B4Mo3: relaxed, GGA-PBE.

Cell: 8.339 3.188 6.370 Å, 90.00 102.32 90.00°
Space group C2/m (No. 12)
Unique sites:
Be  0.112  0.000  0.276 x4
B  0.053  0.500  0.395 x4
B  0.224  0.000  0.047 x4
Mo  0.000  0.500  0.000 x2
Mo  0.166  0.000  0.668 x4

Properties
- Formation energy: -35.8 kJ/mol of atoms
- ρ: 7.0 g/cm3
- E: -139.99 eV for the cell shown
- DOS(E_F): 0.264 states/eV per atom


NaEuLuTl: relaxed, GGA-PBE.

Cell: 7.807 7.807 7.807 Å, 90.00 90.00 90.00°
Space group F-43m (No. 216)
Unique sites:
Na  0.000  0.000  0.000 x4
Eu  0.250  0.250  0.750 x4
Lu  0.250  0.250  0.250 x4
Tl  0.000  0.000  0.500 x4

Properties
- Formation energy: -4.9 kJ/mol of atoms
- ρ: 7.7 g/cm3
- E: -74.74 eV for the cell shown
- DOS(E_F): 2.434 states/eV per atom


Nd3UC3: relaxed, GGA-PBE.

Cell: 7.448 3.647 10.441 Å, 90.00 91.60 90.00°
Space group P2_1/m (No. 11)
Unique sites:
Nd  0.114  0.250  0.374 x2
Nd  0.350  0.750  0.641 x2
Nd  0.378  0.750  0.118 x2
U  0.118  0.250  0.880 x2
C  0.089  0.250  0.107 x2
C  0.118  0.250  0.649 x2
C  0.331  0.750  0.879 x2

Properties
- Formation energy: -10.2 kJ/mol of atoms
- ρ: 8.3 g/cm3
- E: -108.01 eV for the cell shown
- DOS(E_F): 0.745 states/eV per atom


Ca2Y2Nb: relaxed, GGA-PBE.

Cell: 7.457 7.457 6.063 Å, 90.00 90.00 90.00°
Space group P4/mbm (No. 127)
Unique sites:
Ca  0.176  0.324  0.000 x4
Y  0.168  0.668  0.500 x4
Nb  0.000  0.000  0.500 x2

Properties
- Formation energy: 53.8 kJ/mol of atoms
- ρ: 3.5 g/cm3
- E: -48.42 eV for the cell shown
- DOS(E_F): 1.474 states/eV per atom


Tb2CrN4: relaxed, GGA-PBE.

Cell: 5.529 5.456 6.675 Å, 90.00 108.15 90.00°
Space group P2_1/m (No. 11)
Unique sites:
Tb  0.201  0.250  0.037 x2
Tb  0.271  0.250  0.564 x2
Cr  0.244  0.750  0.801 x2
N  0.031  0.504  0.742 x4
N  0.414  0.750  0.064 x2
N  0.447  0.750  0.647 x2

Properties
- ρ: 7.4 g/cm3
- E: -119.93 eV for the cell shown
- Energy relative to the elements, uncorrected: -1.11 eV per atom


HfV2Ge2: relaxed, GGA-PBE.

Cell: 7.436 7.436 2.855 Å, 90.00 90.00 90.00°
Space group P4/mbm (No. 127)
Unique sites:
Hf  0.000  0.000  0.000 x2
V  0.116  0.384  0.000 x4
Ge  0.178  0.678  0.500 x4

Properties
- Formation energy: -10.9 kJ/mol of atoms
- ρ: 9.0 g/cm3
- E: -75.98 eV for the cell shown
- DOS(E_F): 1.200 states/eV per atom


Pa2CuRhN5: relaxed, GGA-PBE.

Cell: 3.363 14.473 8.711 Å, 90.00 90.00 90.00°
Space group Cmc2_1 (No. 36)
Unique sites:
Pa  0.000  0.124  0.000 x4
Pa  0.000  0.130  0.558 x4
Cu  0.000  0.485  0.776 x4
Rh  0.000  0.227  0.276 x4
N  0.000  0.087  0.283 x4
N  0.000  0.280  0.925 x4
N  0.000  0.286  0.626 x4
N  0.000  0.376  0.255 x4
N  0.000  0.491  0.524 x4

Properties
- ρ: 10.9 g/cm3
- E: -312.32 eV for the cell shown
- DOS(E_F): 0.261 states/eV per atom
- Energy relative to the elements, uncorrected: -0.67 eV per atom


PmTh2Zn3: relaxed, GGA-PBE.

Cell: 5.1760 5.1760 6.3566 Å, 90.00 90.00 120.00°
Space group P-3m1 (No. 164)
Unique sites:
Pm  0.0000  0.0000  0.0000 x1
Th  0.3333  0.6667  0.6636 x2
Zn  0.0000  0.0000  0.5000 x1
Zn  0.3333  0.6667  0.1636 x2

Properties
- Formation energy: -20.8 kJ/mol of atoms
- ρ: 9.1 g/cm3
- E: -24.71 eV for the cell shown
- DOS(E_F): 0.940 states/eV per atom


NdSm2ScP4: relaxed, GGA-PBE.

Cell: 6.996 4.050 7.000 Å, 90.00 109.46 90.00°
Space group P2/m (No. 10)
Unique sites:
Nd  0.000  0.000  0.000 x1
Sm  0.000  0.500  0.500 x1
Sm  0.500  0.000  0.500 x1
Sc  0.500  0.500  0.000 x1
P  0.259  0.500  0.246 x2
P  0.265  0.000  0.762 x2

Properties
- Formation energy: -144.4 kJ/mol of atoms
- ρ: 5.5 g/cm3
- E: -54.15 eV for the cell shown
- DOS(E_F): 0.064 states/eV per atom


Ag2BiS3: relaxed, GGA-PBE.

Cell: 6.733 6.746 6.810 Å, 62.28 72.57 79.06°
Space group P-1 (No. 2)
Unique sites:
Ag  0.000  0.000  0.000 x1
Ag  0.004  0.669  0.664 x2
Ag  0.500  0.000  0.500 x1
Bi  0.498  0.669  0.172 x2
S  0.226  0.041  0.214 x2
S  0.233  0.362  0.569 x2
S  0.278  0.710  0.855 x2

Properties
- ρ: 6.6 g/cm3
- E: -45.32 eV for the cell shown
- DOS(E_F): 0.487 states/eV per atom
- Energy relative to the elements, uncorrected: -0.12 eV per atom


Y2BeF: relaxed, GGA-PBE.

Cell: 6.796 6.796 6.796 Å, 90.00 90.00 90.00°
Space group Fm-3m (No. 225)
Unique sites:
Y  0.250  0.250  0.250 x8
Be  0.000  0.000  0.000 x4
F  0.000  0.000  0.500 x4

Properties
- ρ: 4.4 g/cm3
- E: -85.29 eV for the cell shown
- DOS(E_F): 1.087 states/eV per atom
- Energy relative to the elements, uncorrected: -0.70 eV per atom


KIrAu2: relaxed, GGA-PBE.

Cell: 2.9259 2.9259 30.9578 Å, 90.00 90.00 120.00°
Space group R-3m (No. 166, hexagonal axes)
Unique sites:
K  0.0000  0.0000  0.0000 x3
Ir  0.0000  0.0000  0.5000 x3
Au  0.0000  0.0000  0.2412 x6

Properties
- Formation energy: 44.7 kJ/mol of atoms
- ρ: 13.6 g/cm3
- E: -43.99 eV for the cell shown
- DOS(E_F): 0.642 states/eV per atom


HfZrTc: relaxed, GGA-PBE.

Cell: 4.243 9.506 5.984 Å, 90.00 90.00 90.00°
Space group Cmcm (No. 63)
Unique sites:
Hf  0.000  0.211  0.250 x4
Zr  0.000  0.500  0.000 x4
Tc  0.000  0.101  0.750 x4

Properties
- Formation energy: -11.3 kJ/mol of atoms
- ρ: 10.1 g/cm3
- E: -116.87 eV for the cell shown
- DOS(E_F): 0.944 states/eV per atom


Nb2TlCr: relaxed, GGA-PBE.

Cell: 6.584 6.584 6.584 Å, 90.00 90.00 90.00°
Space group Fm-3m (No. 225)
Unique sites:
Nb  0.250  0.250  0.250 x8
Tl  0.000  0.000  0.000 x4
Cr  0.000  0.000  0.500 x4

Properties
- Formation energy: 51.9 kJ/mol of atoms
- ρ: 10.3 g/cm3
- E: -119.92 eV for the cell shown
- DOS(E_F): 1.195 states/eV per atom


NaTlI2: relaxed, GGA-PBE.

Cell: 4.149 4.149 8.383 Å, 90.00 90.00 90.00°
Space group P4/mmm (No. 123)
Unique sites:
Na  0.000  0.000  0.000 x1
Tl  0.000  0.000  0.500 x1
I  0.500  0.500  0.237 x2

Properties
- ρ: 5.5 g/cm3
- E: -10.21 eV for the cell shown
- DOS(E_F): 0.000 states/eV per atom
- Energy relative to the elements, uncorrected: -0.86 eV per atom


LaSc2SbH: relaxed, GGA-PBE.

Cell: 4.714 4.714 4.589 Å, 90.00 90.00 90.00°
Space group P4/mmm (No. 123)
Unique sites:
La  0.000  0.000  0.000 x1
Sc  0.000  0.500  0.500 x2
Sb  0.500  0.500  0.000 x1
H  0.000  0.000  0.500 x1

Properties
- ρ: 5.7 g/cm3
- E: -27.79 eV for the cell shown
- DOS(E_F): 0.827 states/eV per atom


KTcP2O: relaxed, GGA-PBE.

Cell: 4.896 4.896 3.832 Å, 90.00 90.00 90.00°
Space group P4/mmm (No. 123)
Unique sites:
K  0.000  0.000  0.000 x1
Tc  0.500  0.500  0.500 x1
P  0.000  0.500  0.500 x2
O  0.500  0.500  0.000 x1

Properties
- ρ: 3.9 g/cm3
- E: -28.27 eV for the cell shown
- DOS(E_F): 0.453 states/eV per atom
- Energy relative to the elements, uncorrected: -0.21 eV per atom


NbTlSb2I: relaxed, GGA-PBE.

Cell: 5.353 5.353 6.028 Å, 90.00 90.00 90.00°
Space group P4/mmm (No. 123)
Unique sites:
Nb  0.000  0.000  0.000 x1
Tl  0.500  0.500  0.500 x1
Sb  0.000  0.500  0.000 x2
I  0.000  0.000  0.500 x1

Properties
- ρ: 6.4 g/cm3
- E: -21.58 eV for the cell shown
- DOS(E_F): 0.517 states/eV per atom
- Energy relative to the elements, uncorrected: 0.13 eV per atom


HgTe2OsPd: relaxed, GGA-PBE.

Cell: 5.138 5.138 5.144 Å, 90.00 90.00 90.00°
Space group P4/mmm (No. 123)
Unique sites:
Hg  0.000  0.000  0.000 x1
Te  0.000  0.500  0.500 x2
Os  0.500  0.500  0.500 x1
Pd  0.500  0.500  0.000 x1

Properties
- ρ: 9.2 g/cm3
- E: -19.37 eV for the cell shown
- DOS(E_F): 1.363 states/eV per atom
- Energy relative to the elements, uncorrected: 0.73 eV per atom


PRh2Se: relaxed, GGA-PBE.

Cell: 3.932 3.928 5.317 Å, 90.00 90.76 90.00°
Space group Pm (No. 6)
Unique sites:
P  0.000  0.000  0.000 x1
Rh  0.004  0.500  0.231 x1
Rh  0.504  0.000  0.231 x1
Se  0.509  0.500  0.512 x1

Properties
- ρ: 6.4 g/cm3
- E: -25.28 eV for the cell shown
- DOS(E_F): 0.575 states/eV per atom
- Energy relative to the elements, uncorrected: -0.42 eV per atom


SrHf2MgAg: relaxed, GGA-PBE.

Cell: 5.158 5.158 5.844 Å, 90.00 90.00 90.00°
Space group P4/mmm (No. 123)
Unique sites:
Sr  0.000  0.000  0.000 x1
Hf  0.000  0.500  0.500 x2
Mg  0.000  0.000  0.500 x1
Ag  0.500  0.500  0.000 x1

Properties
- Formation energy: 120.0 kJ/mol of atoms
- ρ: 6.2 g/cm3
- E: -19.82 eV for the cell shown
- DOS(E_F): 1.195 states/eV per atom


IrAuNF: relaxed, GGA-PBE.

Cell: 2.859 3.676 6.315 Å, 90.00 90.00 90.00°
Space group Pmm2 (No. 25)
Unique sites:
Ir  0.000  0.000  0.000 x1
Au  0.500  0.000  0.363 x1
N  0.000  0.500  0.994 x1
F  0.000  0.000  0.653 x1

Properties
- ρ: 10.6 g/cm3
- E: -22.00 eV for the cell shown
- DOS(E_F): 0.689 states/eV per atom
- Energy relative to the elements, uncorrected: 0.08 eV per atom


BaZr2: relaxed, GGA-PBE.

Cell: 3.427 4.353 12.796 Å, 90.00 90.00 90.00°
Space group Immm (No. 71)
Unique sites:
Ba  0.000  0.000  0.000 x2
Zr  0.000  0.000  0.298 x4

Properties
- Formation energy: 48.3 kJ/mol of atoms
- ρ: 5.6 g/cm3
- E: -35.04 eV for the cell shown
- DOS(E_F): 1.332 states/eV per atom


TiCo2HSe: relaxed, GGA-PBE.

Cell: 4.457 4.457 3.293 Å, 90.00 90.00 90.00°
Space group P4/mmm (No. 123)
Unique sites:
Ti  0.000  0.000  0.000 x1
Co  0.000  0.500  0.000 x2
H  0.000  0.000  0.500 x1
Se  0.500  0.500  0.500 x1

Properties
- ρ: 6.2 g/cm3
- E: -26.05 eV for the cell shown
- DOS(E_F): 0.734 states/eV per atom


Er7MgTl2: relaxed, GGA-PBE.

Cell: 9.004 15.169 5.294 Å, 90.00 90.00 90.00°
Space group Cmmm (No. 65)
Unique sites:
Er  0.000  0.000  0.000 x2
Er  0.000  0.275  0.500 x4
Er  0.182  0.383  0.000 x8
Mg  0.000  0.500  0.500 x2
Tl  0.000  0.196  0.000 x4

Properties
- Formation energy: 35.2 kJ/mol of atoms
- ρ: 7.4 g/cm3
- E: -69.25 eV for the cell shown
- DOS(E_F): 1.239 states/eV per atom